[1]
# PBE PrZn3NiIr, optimized geometry
data_PrZn3NiIr
_space_group_name_H-M_alt 'C m c m'
_space_group_IT_number 63
_space_group_name_Hall '-C 2c 2'
_cell_length_a 6.214
_cell_length_b 12.589
_cell_length_c 5.417
_cell_angle_alpha 90.00
_cell_angle_beta 90.00
_cell_angle_gamma 90.00
loop_
_atom_site_label
_atom_site_type_symbol
_atom_site_fract_x
_atom_site_fract_y
_atom_site_fract_z
Pr1 Pr 0.000 0.228 0.250
Zn1 Zn 0.000 0.359 0.750
Zn2 Zn 0.204 0.000 0.000
Ni1 Ni 0.000 0.444 0.250
Ir1 Ir 0.000 0.152 0.750
# calculated volume	423.7	Å³ per cell
# formation enthalpy at 0 K	-261	meV/atom

[2]
# PBE NiIr2Pt, optimized geometry
data_NiIr2Pt
_space_group_name_H-M_alt 'P m m m'
_space_group_IT_number 47
_space_group_name_Hall '-P 2 2'
_cell_length_a 2.691
_cell_length_b 4.612
_cell_length_c 4.635
_cell_angle_alpha 90.00
_cell_angle_beta 90.00
_cell_angle_gamma 90.00
loop_
_atom_site_label
_atom_site_type_symbol
_atom_site_fract_x
_atom_site_fract_y
_atom_site_fract_z
Ni1 Ni 0.000 0.000 0.000
Ir1 Ir 0.000 0.500 0.500
Ir2 Ir 0.500 0.000 0.500
Pt1 Pt 0.500 0.500 0.000
# calculated volume	57.5	Å³ per cell
# formation enthalpy at 0 K	205	meV/atom

[3]
# PBE Ni2IrPt, optimized geometry
data_Ni2IrPt
_space_group_name_H-M_alt 'P 4 m m'
_space_group_IT_number 99
_space_group_name_Hall 'P 4 -2'
_cell_length_a 2.709
_cell_length_b 2.709
_cell_length_c 7.143
_cell_angle_alpha 90.00
_cell_angle_beta 90.00
_cell_angle_gamma 90.00
loop_
_atom_site_label
_atom_site_type_symbol
_atom_site_fract_x
_atom_site_fract_y
_atom_site_fract_z
Ni1 Ni 0.000 0.000 0.000
Ni2 Ni 0.500 0.500 0.222
Ir1 Ir 0.500 0.500 0.762
Pt1 Pt 0.000 0.000 0.478
# calculated volume	52.4	Å³ per cell
# formation enthalpy at 0 K	37	meV/atom

[4]
# PBE Ni2IrPt, optimized geometry
data_Ni2IrPt
_space_group_name_H-M_alt 'F -4 3 m'
_space_group_IT_number 216
_space_group_name_Hall 'F -4 2 3'
_cell_length_a 5.992
_cell_length_b 5.992
_cell_length_c 5.992
_cell_angle_alpha 90.00
_cell_angle_beta 90.00
_cell_angle_gamma 90.00
loop_
_atom_site_label
_atom_site_type_symbol
_atom_site_fract_x
_atom_site_fract_y
_atom_site_fract_z
Ni1 Ni 0.000 0.000 0.000
Ni2 Ni 0.250 0.250 0.250
Ir1 Ir 0.000 0.000 0.500
Pt1 Pt 0.250 0.250 0.750
# calculated volume	215.1	Å³ per cell
# formation enthalpy at 0 K	220	meV/atom